# InFeCu2 | Alexandria | PBE-GGA | optimized geometry
data_InFeCu2
_chemical_formula_sum 'In2 Fe2 Cu4'
_symmetry_space_group_name_H-M 'C 1 2/m 1'
_symmetry_Int_Tables_number 12
_symmetry_space_group_name_Hall '-C 2y'
_cell_length_a 8.722
_cell_length_b 2.781
_cell_length_c 4.886
_cell_angle_alpha 90.00
_cell_angle_beta 98.80
_cell_angle_gamma 90.00
loop_
_atom_site_label
_atom_site_type_symbol
_atom_site_fract_x
_atom_site_fract_y
_atom_site_fract_z
In1 In 0.000 0.000 0.000
Fe1 Fe 0.000 0.500 0.500
Cu1 Cu 0.244 0.000 0.717
# * spin magnetization: 2.606 μB/f.u.
# * total energy: -37.105 eV/cell
# * DOS(E_F): 4.87 states/eV/cell
# * formation energy from the elements: 0.2102 eV per atom